Entry 1:
PBE CrSbAu2, relaxed; DOS(E_F) = 2.47 states/eV/f.u.; formation energy without anion corrections = 152 meV per atom; space-group type = No. 44; density = 12.24 g/cm³
1.0
4.225 0.000 0.000
0.000 4.233 0.000
0.000 0.000 8.610
Cr Sb Au
2 2 4
direct
0.000 0.000 0.000
0.500 0.500 0.500
0.000 0.500 0.749
0.500 0.000 0.249
0.000 0.000 0.500
0.000 0.500 0.249
0.500 0.000 0.749
0.500 0.500 0.000

***

Entry 2:
PBE Rb3Zr2O3F4, relaxed; DOS(E_F) = 2.71 states/eV/f.u.; formation energy without anion corrections = -2883 meV per atom; space-group type = No. 71; density = 4.41 g/cm³
1.0
-2.074 2.218 11.512
2.074 -2.218 11.512
2.074 2.218 -11.512
Rb Zr O F
3 2 3 4
direct
0.000 0.000 0.000
0.188 0.188 0.000
0.812 0.812 0.000
0.411 0.411 0.000
0.589 0.589 0.000
0.401 0.901 0.500
0.500 0.500 0.000
0.599 0.099 0.500
0.094 0.594 0.500
0.311 0.311 0.000
0.689 0.689 0.000
0.906 0.406 0.500

***

Entry 3:
PBE Ta2FePt, relaxed; DOS(E_F) = 4.48 states/eV/f.u.; energy relative to the lowest polymorph listed for this composition = 0.75 eV per formula unit; ΔH_f (0 K) = -17.0 kJ/mol of atoms; space-group type = No. 225; density = 15.87 g/cm³
1.0
6.353 0.000 0.000
0.000 6.353 0.000
0.000 0.000 6.353
Ta Fe Pt
8 4 4
direct
0.250 0.250 0.250
0.250 0.250 0.750
0.250 0.750 0.250
0.250 0.750 0.750
0.750 0.250 0.250
0.750 0.250 0.750
0.750 0.750 0.250
0.750 0.750 0.750
0.000 0.000 0.000
0.000 0.500 0.500
0.500 0.000 0.500
0.500 0.500 0.000
0.000 0.000 0.500
0.000 0.500 0.000
0.500 0.000 0.000
0.500 0.500 0.500

***

Entry 4:
PBE Ba2Na5Pb3, relaxed; DOS(E_F) = 5.69 states/eV/f.u.; ΔH_f (0 K) = -18.1 kJ/mol of atoms; space-group type = No. 115; density = 4.21 g/cm³
1.0
5.038 0.000 0.000
0.000 5.038 0.000
0.000 0.000 15.709
Ba Na Pb
2 5 3
direct
0.000 0.500 0.193
0.500 0.000 0.807
0.000 0.000 0.500
0.000 0.500 0.662
0.500 0.000 0.338
0.500 0.500 0.000
0.500 0.500 0.500
0.000 0.000 0.000
0.000 0.500 0.866
0.500 0.000 0.134